TiWO3: relaxed, GGA+U.

Unit cell a=3.863 b=3.863 c=3.863 alpha=90.00 beta=90.00 gamma=90.00
Last column: magnetic moment on the atom in μB.
Element x y z (fractional)
O1 0.000 0.500 0.000  -0.04
O2 0.000 0.000 0.500  -0.01
O3 0.500 0.000 0.000  0.00
W1 0.500 0.500 0.500  3.37
Ti1 0.000 0.000 0.000  0.11

* ρ: 8.055 Mg/m³
* calculated total energy: -7.444 eV/atom
* symmetry: No. 221